Record 1
Material: MgCoPt
Method: DFT, PBE
State: relaxed

abc: 2.8099 2.8099 6.4812
angles: 90.00 90.00 120.00
Space group P3m1 (No. 156)
One atom of each set of equivalent atoms:
Mg 0.0000 0.0000 0.0000
Co 0.3333 0.6667 0.6670
Pt 0.6667 0.3333 0.3450

Calculated values
Energy of formation from the pure elements   -0.066 eV per atom
Total magnetic moment   1.61 μB/f.u.
Uncorrected energy   -4.98 eV/atom

***

Record 2
Material: Mg2CoPt
Method: DFT, PBE
State: relaxed

abc: 2.910 2.910 7.822
angles: 90.00 90.00 90.00
Space group P4mm (No. 99)
One atom of each set of equivalent atoms:
Mg 0.000 0.000 0.000
Mg 0.500 0.500 0.335
Co 0.500 0.500 0.774
Pt 0.000 0.000 0.569

Calculated values
Energy of formation from the pure elements   -0.171 eV per atom
Total magnetic moment   1.83 μB/f.u.
Uncorrected energy   -4.26 eV/atom

***

Record 3
Material: Mg2CoPt
Method: DFT, PBE
State: relaxed

abc: 3.890 3.890 8.140
angles: 90.00 90.00 90.00
Space group I-4m2 (No. 119)
One atom of each set of equivalent atoms:
Mg 0.000 0.000 0.000
Mg 0.000 0.500 0.250
Co 0.000 0.000 0.500
Pt 0.000 0.500 0.750

Calculated values
Energy of formation from the pure elements   -0.266 eV per atom
Total magnetic moment   1.48 μB/f.u.
Uncorrected energy   -4.35 eV/atom